Material: YTm2Si4Ag4
Method: DFT, PBE-GGA
State: optimized geometry

Results
Total DFT energy (no corrections): -4.89 eV per atom
ρ: 7.76 g cm⁻³
Total moment: 0.00 μB/atom
Symmetry: Immm, No. 71

Cell lengths 8.1389, 8.1389, 8.1389 Å; angles 149.95, 129.18, 60.18 degrees
Fractional positions:
Y 0.0000 0.0000 0.0000
Tm 0.3755 0.8755 0.5000
Tm 0.6245 0.1245 0.5000
Si 0.2170 0.2170 0.0000
Si 0.3251 0.5000 0.8251
Si 0.6749 0.5000 0.1749
Si 0.7830 0.7830 0.0000
Ag 0.0303 0.3311 0.6992
Ag 0.3681 0.6689 0.6992
Ag 0.6319 0.3311 0.3008
Ag 0.9697 0.6689 0.3008